Record 1
VASP calculation (PBE) on a geometry-optimized Th4CoBr5 structure.

abc: 18.0086 3.8102 8.9662
angles: 90.00 99.05 90.00
Space group C2/m (No. 12)
Inequivalent atoms, fractional coordinates:
1 Th 0.0021 0.0000 0.2043 [4 per cell]
2 Th 0.1684 0.5000 0.0517 [4 per cell]
3 Co 0.0000 0.5000 0.0000 [2 per cell]
4 Br 0.0000 0.5000 0.5000 [2 per cell]
5 Br 0.1656 0.0000 0.7797 [4 per cell]
6 Br 0.1680 0.0000 0.3221 [4 per cell]

Output
D(E_F): 11.44 states/eV per cell
Electronic total energy: -113.7 eV/cell
Volume: 608 Å³/cell

Record 2
VASP calculation (PBE) on a geometry-optimized ThCoBr structure.

abc: 6.8596 3.9595 12.1664
angles: 90.00 96.69 90.00
Space group C2/m (No. 12)
Inequivalent atoms, fractional coordinates:
1 Th 0.0375 0.0000 0.1574 [4 per cell]
2 Co 0.1673 0.5000 0.0031 [4 per cell]
3 Br 0.2405 0.5000 0.3343 [4 per cell]

Output
D(E_F): 3.46 states/eV per cell
Electronic total energy: -76.1 eV/cell
Volume: 328 Å³/cell

Record 3
VASP calculation (PBE) on a geometry-optimized Th3CoBr3 structure.

abc: 9.1944 3.8493 11.9163
angles: 90.00 92.56 90.00
Space group P2_1/m (No. 11)
Inequivalent atoms, fractional coordinates:
1 Th 0.0830 0.2500 0.1207 [2 per cell]
2 Th 0.0906 0.2500 0.6161 [2 per cell]
3 Th 0.3025 0.7500 0.3649 [2 per cell]
4 Co 0.1117 0.2500 0.3679 [2 per cell]
5 Br 0.1805 0.2500 0.8725 [2 per cell]
6 Br 0.3486 0.7500 0.1186 [2 per cell]
7 Br 0.3923 0.7500 0.6208 [2 per cell]

Output
D(E_F): 10.23 states/eV per cell
Electronic total energy: -83.2 eV/cell
Volume: 421 Å³/cell

Record 4
VASP calculation (PBE) on a geometry-optimized Th2CoBr structure.

abc: 4.1051 4.1051 23.1894
angles: 90.00 90.00 120.00
Space group R-3m (No. 166, hexagonal axes)
Inequivalent atoms, fractional coordinates:
1 Th 0.0000 0.0000 0.2252 [6 per cell]
2 Co 0.0000 0.0000 0.5000 [3 per cell]
3 Br 0.0000 0.0000 0.0000 [3 per cell]

Output
D(E_F): 10.21 states/eV per cell
Volume: 338 Å³/cell
Energy above the lowest structure with this stoichiometry: 0.0 meV/atom